Here is a PBEsol-optimized structure of Cu2ReWO from the Alexandria database. Energies are from SCAN.

Size of the total moment ... 0.474 μB per atom
E ... -171.32 eV/cell

Cell lengths 3.6294, 4.6819, 4.6819 Å; angles 90.00, 90.00, 90.00 degrees
Each line ends with the local moment (μB).
Element x y z (fractional)
1 O 0.5000 0.0000 0.0000  0.05
2 Re 0.5000 0.5000 0.5000  2.11
3 Cu 0.0000 0.0000 0.5000  0.01
4 Cu 0.0000 0.5000 0.0000  0.01
5 W 0.0000 0.0000 0.0000  -0.21